1.
TbSm2Dy2Er4: relaxed, PBE.

ΔE_f ... -4 meV/atom
Spin magnetization ... 0.0 μB per formula unit
E ... -4.618 eV per atom

abc: 9.455 9.455 9.506
angles: 115.23 115.23 21.80
Fractional positions:
Tb1 0.000 0.000 0.000
Sm1 0.334 0.334 0.000
Sm2 0.666 0.666 0.000
Dy1 0.147 0.147 0.663
Dy2 0.853 0.853 0.337
Er1 0.185 0.185 0.336
Er2 0.481 0.481 0.665
Er3 0.519 0.519 0.335
Er4 0.815 0.815 0.664


2.
TbSmDy2Er: relaxed, PBE.

ΔE_f ... 401 meV/atom
Spin magnetization ... 0.0 μB per formula unit
E ... -4.222 eV per atom

abc: 7.086 7.086 7.181
angles: 90.00 90.00 107.54
Fractional positions:
Tb1 0.003 0.997 0.750
Tb2 0.997 0.003 0.250
Sm1 0.274 0.726 0.750
Sm2 0.726 0.274 0.250
Dy1 0.310 0.310 0.000
Dy2 0.310 0.310 0.500
Dy3 0.690 0.690 0.000
Dy4 0.690 0.690 0.500
Er1 0.276 0.724 0.250
Er2 0.724 0.276 0.750


3.
Tb6Sm2Dy3Er: relaxed, PBE.

ΔE_f ... 14 meV/atom
Spin magnetization ... 0.0 μB per formula unit
E ... -4.618 eV per atom

abc: 6.165 6.165 11.809
angles: 94.97 94.97 119.96
Fractional positions:
Tb1 0.084 0.417 0.751
Tb2 0.248 0.248 0.248
Tb3 0.417 0.084 0.751
Tb4 0.583 0.916 0.249
Tb5 0.752 0.752 0.752
Tb6 0.916 0.583 0.249
Sm1 0.333 0.667 0.500
Sm2 0.667 0.333 0.500
Dy1 0.166 0.834 0.000
Dy2 0.500 0.500 0.000
Dy3 0.834 0.166 0.000
Er1 0.000 0.000 0.500


4.
TbSm2DyEr4: relaxed, PBE.

ΔE_f ... 438 meV/atom
Spin magnetization ... 3.4 μB per formula unit
E ... -4.177 eV per atom

abc: 9.468 9.468 6.783
angles: 110.98 110.98 88.64
Fractional positions:
Tb1 0.000 0.500 0.000
Tb2 0.500 0.000 0.500
Sm1 0.000 0.000 0.000
Sm2 0.000 0.000 0.500
Sm3 0.000 0.500 0.500
Sm4 0.500 0.000 0.000
Dy1 0.500 0.500 0.000
Dy2 0.500 0.500 0.500
Er1 0.251 0.253 0.001
Er2 0.252 0.748 0.001
Er3 0.252 0.748 0.499
Er4 0.253 0.251 0.501
Er5 0.747 0.749 0.499
Er6 0.748 0.252 0.501
Er7 0.748 0.252 0.999
Er8 0.749 0.747 0.999


5.
TbSm3Dy2Er6: relaxed, PBE.

ΔE_f ... 18 meV/atom
Spin magnetization ... 0.0 μB per formula unit
E ... -4.596 eV per atom

abc: 6.145 6.145 11.713
angles: 95.00 95.00 119.97
Fractional positions:
Tb1 0.000 0.000 0.000
Sm1 0.167 0.833 0.500
Sm2 0.500 0.500 0.500
Sm3 0.833 0.167 0.500
Dy1 0.333 0.667 0.000
Dy2 0.667 0.333 0.000
Er1 0.083 0.416 0.248
Er2 0.250 0.250 0.752
Er3 0.416 0.083 0.248
Er4 0.584 0.917 0.752
Er5 0.750 0.750 0.248
Er6 0.917 0.584 0.752


6.
TbSm3DyEr: relaxed, PBE.

ΔE_f ... 18 meV/atom
Spin magnetization ... 0.0 μB per formula unit
E ... -4.641 eV per atom

abc: 8.015 8.015 10.133
angles: 90.00 90.00 143.24
Fractional positions:
Tb1 0.000 0.000 0.000
Tb2 0.000 0.000 0.500
Sm1 0.167 0.833 0.750
Sm2 0.334 0.666 0.000
Sm3 0.334 0.666 0.500
Sm4 0.666 0.334 0.000
Sm5 0.666 0.334 0.500
Sm6 0.833 0.167 0.250
Dy1 0.499 0.501 0.750
Dy2 0.501 0.499 0.250
Er1 0.166 0.834 0.250
Er2 0.834 0.166 0.750


7.
TbSmDy2Er6: relaxed, PBE.

ΔE_f ... 122 meV/atom
Spin magnetization ... 0.0 μB per formula unit
E ... -4.471 eV per atom

abc: 8.718 8.718 9.498
angles: 93.89 93.89 117.86
Fractional positions:
Tb1 0.091 0.909 0.750
Tb2 0.909 0.091 0.250
Sm1 0.476 0.524 0.250
Sm2 0.524 0.476 0.750
Dy1 0.199 0.304 0.955
Dy2 0.304 0.199 0.455
Dy3 0.696 0.801 0.545
Dy4 0.801 0.696 0.045
Er1 0.007 0.792 0.381
Er2 0.070 0.521 0.183
Er3 0.208 0.993 0.119
Er4 0.249 0.624 0.557
Er5 0.376 0.751 0.943
Er6 0.479 0.930 0.317
Er7 0.521 0.070 0.683
Er8 0.624 0.249 0.057
Er9 0.751 0.376 0.443
Er10 0.792 0.007 0.881
Er11 0.930 0.479 0.817
Er12 0.993 0.208 0.619


8.
Tb5SmDy2Er: relaxed, PBE.

ΔE_f ... 151 meV/atom
Spin magnetization ... 0.0 μB per formula unit
E ... -4.475 eV per atom

abc: 10.361 10.361 10.592
angles: 90.00 90.00 148.68
Fractional positions:
Tb1 0.017 0.983 0.500
Tb2 0.281 0.719 0.783
Tb3 0.300 0.700 0.183
Tb4 0.392 0.608 0.499
Tb5 0.479 0.521 0.215
Tb6 0.521 0.479 0.715
Tb7 0.608 0.392 0.999
Tb8 0.700 0.300 0.683
Tb9 0.719 0.281 0.283
Tb10 0.983 0.017 0.000
Sm1 0.201 0.799 0.487
Sm2 0.799 0.201 0.987
Dy1 0.110 0.890 0.213
Dy2 0.114 0.886 0.794
Dy3 0.886 0.114 0.294
Dy4 0.890 0.110 0.713
Er1 0.413 0.587 0.933
Er2 0.587 0.413 0.433


9.
Tb6Sm2DyEr: relaxed, PBE.

ΔE_f ... 116 meV/atom
Spin magnetization ... 0.0 μB per formula unit
E ... -4.522 eV per atom

abc: 8.788 8.788 9.653
angles: 94.35 94.35 118.13
Fractional positions:
Tb1 0.019 0.573 0.187
Tb2 0.125 0.749 0.556
Tb3 0.251 0.875 0.944
Tb4 0.291 0.503 0.380
Tb5 0.427 0.981 0.313
Tb6 0.497 0.709 0.120
Tb7 0.503 0.291 0.880
Tb8 0.573 0.019 0.687
Tb9 0.709 0.497 0.620
Tb10 0.749 0.125 0.056
Tb11 0.875 0.251 0.444
Tb12 0.981 0.427 0.813
Sm1 0.196 0.299 0.043
Sm2 0.299 0.196 0.543
Sm3 0.701 0.804 0.457
Sm4 0.804 0.701 0.957
Dy1 0.020 0.980 0.250
Dy2 0.980 0.020 0.750
Er1 0.408 0.592 0.750
Er2 0.592 0.408 0.250


10.
Tb3Sm6Dy2Er: relaxed, PBE.

ΔE_f ... 13 meV/atom
Spin magnetization ... 0.0 μB per formula unit
E ... -4.651 eV per atom

abc: 6.217 6.217 11.843
angles: 95.00 95.00 119.98
Fractional positions:
Tb1 0.000 0.000 0.000
Tb2 0.333 0.667 0.000
Tb3 0.667 0.333 0.000
Sm1 0.084 0.417 0.251
Sm2 0.250 0.250 0.749
Sm3 0.417 0.084 0.251
Sm4 0.583 0.916 0.749
Sm5 0.750 0.750 0.251
Sm6 0.916 0.583 0.749
Dy1 0.167 0.833 0.500
Dy2 0.833 0.167 0.500
Er1 0.500 0.500 0.500


11.
TbSm2DyEr5: relaxed, PBE.

ΔE_f ... 278 meV/atom
Spin magnetization ... 0.0 μB per formula unit
E ... -4.331 eV per atom

abc: 9.818 9.818 9.818
angles: 127.98 127.98 76.65
Fractional positions:
Tb1 0.250 0.250 0.000
Tb2 0.750 0.750 0.000
Sm1 0.117 0.617 0.734
Sm2 0.383 0.117 0.500
Sm3 0.617 0.883 0.500
Sm4 0.883 0.383 0.266
Dy1 0.250 0.750 0.500
Dy2 0.750 0.250 0.500
Er1 0.000 0.000 0.000
Er2 0.072 0.151 0.500
Er3 0.151 0.651 0.079
Er4 0.349 0.428 0.500
Er5 0.428 0.928 0.079
Er6 0.500 0.500 0.000
Er7 0.572 0.072 0.921
Er8 0.651 0.572 0.500
Er9 0.849 0.349 0.921
Er10 0.928 0.849 0.500


12.
TbSm5Dy2Er: relaxed, PBE.

ΔE_f ... 147 meV/atom
Spin magnetization ... 0.0 μB per formula unit
E ... -4.519 eV per atom

abc: 10.479 10.479 10.644
angles: 90.00 90.00 148.88
Fractional positions:
Tb1 0.200 0.800 0.500
Tb2 0.800 0.200 0.000
Sm1 0.017 0.983 0.510
Sm2 0.281 0.719 0.800
Sm3 0.299 0.701 0.196
Sm4 0.388 0.612 0.512
Sm5 0.481 0.519 0.232
Sm6 0.519 0.481 0.732
Sm7 0.612 0.388 0.012
Sm8 0.701 0.299 0.696
Sm9 0.719 0.281 0.300
Sm10 0.983 0.017 0.010
Dy1 0.111 0.889 0.227
Dy2 0.115 0.885 0.804
Dy3 0.885 0.115 0.304
Dy4 0.889 0.111 0.727
Er1 0.410 0.590 0.949
Er2 0.590 0.410 0.449